Entry 1:
Ba2SrGa2: relaxed, GGA-PBE.

abc: 5.625 7.349 8.959
angles: 90.00 90.00 90.00
Space group Immm (No. 71)
Symmetry-distinct sites (fractional):
Ba: 0.000 0.000 0.213 x4
Sr: 0.000 0.500 0.000 x2
Ga: 0.000 0.324 0.500 x4

Calculated values
As for the magnetization: 0.00 μB per formula unit. The energy above the most stable polymorph in this dataset comes out at 0 meV per atom. For the total energy, the calculation gives -2.600 eV/atom. The calculation puts the energy of formation from the pure elements at -0.284 eV/atom.

---

Entry 2:
ErV2Ir: relaxed, GGA-PBE.

abc: 6.335 6.335 6.335
angles: 90.00 90.00 90.00
Space group Fm-3m (No. 225)
Symmetry-distinct sites (fractional):
Er: 0.000 0.000 0.000 x4
V: 0.250 0.250 0.250 x8
Ir: 0.000 0.000 0.500 x4

Calculated values
As for the magnetization: 0.00 μB per formula unit. For the total energy, the calculation gives -7.937 eV/atom. The calculation puts the energy of formation from the pure elements at -0.021 eV/atom.

---

Entry 3:
RhBr2: relaxed, GGA-PBE.

abc: 9.460 3.656 10.313
angles: 90.00 90.00 90.00
Space group Pnma (No. 62)
Symmetry-distinct sites (fractional):
Rh: 0.145 0.250 0.060 x4
Br: 0.006 0.750 0.159 x4
Br: 0.193 0.250 0.490 x4

Calculated values
As for the magnetization: 0.00 μB per formula unit. For the total energy, the calculation gives -3.677 eV/atom. For the raw formation energy, the calculation gives -0.112 eV/atom.

---

Entry 4:
CoHg2B: relaxed, GGA-PBE.

abc: 9.113 9.113 3.907
angles: 90.00 90.00 90.00
Space group I4_1/amd (No. 141, origin choice 2)
Symmetry-distinct sites (fractional):
Co: 0.000 0.250 0.375 x4
Hg: 0.000 0.000 0.000 x8
B: 0.000 0.250 0.875 x4

Calculated values
As for the magnetization: 0.92 μB per formula unit. For the total energy, the calculation gives -2.979 eV/atom. The calculation puts the energy of formation from the pure elements at 0.618 eV/atom.

---

Entry 5:
Cs12Sn3H5: relaxed, GGA-PBE.

abc: 20.286 20.286 20.286
angles: 90.00 90.00 90.00
Space group Ia-3d (No. 230)
Symmetry-distinct sites (fractional):
Cs: 0.030 0.053 0.650 x96
Sn: 0.000 0.250 0.125 x24
H: 0.000 0.000 0.000 x16
H: 0.000 0.250 0.375 x24

Calculated values
As for the magnetization: 5.04 μB per formula unit. For the total energy, the calculation gives -1.991 eV/atom.

---

Entry 6:
Li2PuSc3S6: relaxed, GGA-PBE.

abc: 6.461 11.187 6.616
angles: 90.00 109.15 90.00
Space group C2/m (No. 12)
Symmetry-distinct sites (fractional):
Li: 0.000 0.167 0.000 x4
Pu: 0.000 0.500 0.000 x2
Sc: 0.000 0.000 0.500 x2
Sc: 0.000 0.333 0.500 x4
S: 0.243 0.170 0.739 x8
S: 0.247 0.000 0.262 x4

Calculated values
As for the magnetization: 6.13 μB per formula unit. For the total energy, the calculation gives -6.934 eV/atom. For the raw formation energy, the calculation gives -1.774 eV/atom.

---

> Which formula does entry 3 have?

RhBr2

---

> Which value of magnetization does entry 2 give?

0.00 μB per formula unit

---

> The highest magnetization belongs to which entry?

Li2PuSc3S6